Compound: SrTa2P
Source: Alexandria
Functional: GGA-PBE
Structure: optimized geometry

abc: 3.327 3.327 7.750
angles: 90.00 90.00 90.00
Space group P4/mmm (No. 123)
Inequivalent atoms, fractional coordinates:
Sr: 0.000 0.000 0.000 (multiplicity 1)
Ta: 0.500 0.500 0.337 (multiplicity 2)
P: 0.000 0.000 0.500 (multiplicity 1)

Summary:
ΔE_f, meV/atom: 222.0
Magnetic moment, μB/atom: 0.00
Final energy, eV/atom: -7.4773


Compound: La2Sm5Mg
Source: Alexandria
Functional: GGA-PBE
Structure: optimized geometry

abc: 6.574 18.183 9.562
angles: 90.00 108.91 90.00
Space group C2/c (No. 15)
Inequivalent atoms, fractional coordinates:
La: 0.000 0.000 0.000 (multiplicity 4)
La: 0.250 0.250 0.000 (multiplicity 4)
Sm: 0.000 0.387 0.750 (multiplicity 4)
Sm: 0.156 0.444 0.138 (multiplicity 8)
Sm: 0.248 0.181 0.612 (multiplicity 8)
Mg: 0.000 0.148 0.250 (multiplicity 4)

Summary:
ΔE_f, meV/atom: 180.8
Magnetic moment, μB/atom: 0.00
Final energy, eV/atom: -4.1999


Compound: LiY2Ru
Source: Alexandria
Functional: GGA-PBE
Structure: optimized geometry

abc: 7.276 3.480 8.560
angles: 90.00 97.33 90.00
Space group C2/m (No. 12)
Inequivalent atoms, fractional coordinates:
Li: 0.000 0.000 0.000 (multiplicity 2)
Y: 0.233 0.000 0.689 (multiplicity 4)
Ru: 0.000 0.500 0.500 (multiplicity 2)

Summary:
ΔE_f, meV/atom: -25.8
Magnetic moment, μB/atom: 0.00
Final energy, eV/atom: -6.0552
Energy relative to the lowest polymorph listed for this composition, kJ/mol of formula units: 93


Compound: CaZrCd2
Source: Alexandria
Functional: GGA-PBE
Structure: optimized geometry

abc: 3.4575 3.4575 30.0196
angles: 90.00 90.00 120.00
Space group R-3m (No. 166, hexagonal axes)
Inequivalent atoms, fractional coordinates:
Ca: 0.0000 0.0000 0.0000 (multiplicity 3)
Zr: 0.0000 0.0000 0.5000 (multiplicity 3)
Cd: 0.0000 0.0000 0.2458 (multiplicity 6)

Summary:
ΔE_f, meV/atom: 38.2
Magnetic moment, μB/atom: 0.04
Final energy, eV/atom: -3.0568


Compound: NdB2Pt5
Source: Alexandria
Functional: GGA-PBE
Structure: optimized geometry

abc: 4.076 6.564 9.112
angles: 90.00 90.00 90.00
Space group Immm (No. 71)
Inequivalent atoms, fractional coordinates:
Nd: 0.000 0.000 0.000 (multiplicity 2)
B: 0.000 0.500 0.242 (multiplicity 4)
Pt: 0.000 0.211 0.345 (multiplicity 8)
Pt: 0.000 0.500 0.000 (multiplicity 2)

Summary:
ΔE_f, meV/atom: -600.0
Magnetic moment, μB/atom: 0.00
Final energy, eV/atom: -6.6408


Compound: BaLa2Y
Source: Alexandria
Functional: GGA-PBE
Structure: optimized geometry

abc: 3.805 3.805 11.060
angles: 90.00 90.00 90.00
Space group P4mm (No. 99)
Inequivalent atoms, fractional coordinates:
Ba: 0.000 0.000 0.000 (multiplicity 1)
La: 0.000 0.000 0.509 (multiplicity 1)
La: 0.500 0.500 0.287 (multiplicity 1)
Y: 0.500 0.500 0.727 (multiplicity 1)

Summary:
ΔE_f, meV/atom: 122.2
Magnetic moment, μB/atom: 0.00
Final energy, eV/atom: -4.4383
Energy relative to the lowest polymorph listed for this composition, kJ/mol of formula units: 6


Compound: Nb3RuS6
Source: Alexandria
Functional: GGA-PBE
Structure: optimized geometry

abc: 9.811 12.216 5.982
angles: 90.00 90.00 90.00
Space group Cmc2_1 (No. 36)
Inequivalent atoms, fractional coordinates:
Nb: 0.000 0.099 0.000 (multiplicity 4)
Nb: 0.150 0.385 0.089 (multiplicity 8)
Ru: 0.000 0.286 0.725 (multiplicity 4)
S: 0.000 0.265 0.313 (multiplicity 4)
S: 0.000 0.474 0.795 (multiplicity 4)
S: 0.166 0.030 0.296 (multiplicity 8)
S: 0.191 0.212 0.869 (multiplicity 8)

Summary:
Magnetic moment, μB/atom: 0.00
Formation energy without anion corrections, kJ/mol of atoms: -66.0
Final energy, eV/atom: -7.1088


Compound: TaIr2Pt
Source: Alexandria
Functional: GGA-PBE
Structure: optimized geometry

abc: 2.827 3.882 5.673
angles: 90.00 90.00 90.00
Space group Pmmm (No. 47)
Inequivalent atoms, fractional coordinates:
Ta: 0.000 0.000 0.000 (multiplicity 1)
Ir: 0.500 0.500 0.250 (multiplicity 2)
Pt: 0.000 0.000 0.500 (multiplicity 1)

Summary:
ΔE_f, meV/atom: -420.5
Magnetic moment, μB/atom: 0.00
Final energy, eV/atom: -9.3243
Energy relative to the lowest polymorph listed for this composition, kJ/mol of formula units: 88